Entry 1:
Below is a geometry-optimized Tm6InRu5 structure, with properties calculated at the GGA-PBE level.

Values from the calculation:
- E_form: -0.446 eV/atom
- V: 19.83 A^3/atom
- Magnetic moment: 0.00 μB per formula unit
- D(E_F): 5.4 states/eV/f.u.
- SG: Cmmm (65)

Cell lengths 7.5878, 7.5878, 6.8806 Å; angles 90.00, 90.00, 143.08 degrees
Sites, in units of the cell vectors:
Tm 0.0000 0.0000 0.2312
Tm 0.0000 0.0000 0.7688
Tm 0.3265 0.6735 0.2436
Tm 0.3265 0.6735 0.7564
Tm 0.6735 0.3265 0.2436
Tm 0.6735 0.3265 0.7564
In 0.5000 0.5000 0.5000
Ru 0.1624 0.8376 0.5000
Ru 0.1664 0.8336 0.0000
Ru 0.5000 0.5000 0.0000
Ru 0.8336 0.1664 0.0000
Ru 0.8376 0.1624 0.5000

***

Entry 2:
Below is a geometry-optimized Tm5In4Ru structure, with properties calculated at the GGA-PBE level.

Values from the calculation:
- E_form: -0.473 eV/atom
- V: 24.36 A^3/atom
- Magnetic moment: 0.54 μB per formula unit
- D(E_F): 5.2 states/eV/f.u.
- SG: P4/mmm (123)

Cell lengths 3.4022, 3.4022, 21.0484 Å; angles 90.00, 90.00, 90.00 degrees
Sites, in units of the cell vectors:
Tm 0.0000 0.0000 0.0000
Tm 0.0000 0.0000 0.2077
Tm 0.0000 0.0000 0.4230
Tm 0.0000 0.0000 0.5770
Tm 0.0000 0.0000 0.7923
In 0.5000 0.5000 0.1038
In 0.5000 0.5000 0.3119
In 0.5000 0.5000 0.6881
In 0.5000 0.5000 0.8962
Ru 0.5000 0.5000 0.5000

***

Entry 3:
Below is a geometry-optimized TmIn2Ru structure, with properties calculated at the GGA-PBE level.

Values from the calculation:
- E_form: -0.179 eV/atom
- V: 20.05 A^3/atom
- Magnetic moment: 0.00 μB per formula unit
- D(E_F): 2.9 states/eV/f.u.
- SG: Fm-3m (225)

Cell lengths 4.8402, 4.8402, 4.8402 Å; angles 60.00, 60.00, 60.00 degrees
Sites, in units of the cell vectors:
Tm 0.0000 0.0000 0.0000
In 0.2500 0.2500 0.2500
In 0.7500 0.7500 0.7500
Ru 0.5000 0.5000 0.5000

***

Entry 4:
Below is a geometry-optimized Tm4InRu structure, with properties calculated at the GGA-PBE level.

Values from the calculation:
- E_form: -0.232 eV/atom
- V: 28.32 A^3/atom
- Magnetic moment: 0.00 μB per formula unit
- D(E_F): 4.6 states/eV/f.u.
- SG: C2/m (12)

Cell lengths 4.9614, 4.9614, 8.4763 Å; angles 107.01, 107.01, 59.91 degrees
Sites, in units of the cell vectors:
Tm 0.1135 0.1135 0.3393
Tm 0.3650 0.3650 0.0946
Tm 0.6350 0.6350 0.9054
Tm 0.8865 0.8865 0.6607
In 0.5000 0.5000 0.5000
Ru 0.0000 0.0000 0.0000

***

Entry 5:
Below is a geometry-optimized Tm4InRu structure, with properties calculated at the GGA-PBE level.

Values from the calculation:
- E_form: -0.422 eV/atom
- V: 25.33 A^3/atom
- Magnetic moment: 0.00 μB per formula unit
- D(E_F): 5.6 states/eV/f.u.
- SG: F-43m (216)

Cell lengths 9.5087, 9.5087, 9.5087 Å; angles 60.00, 60.00, 60.00 degrees
Sites, in units of the cell vectors:
Tm 0.0433 0.6522 0.6522
Tm 0.0586 0.0586 0.4414
Tm 0.0586 0.4414 0.0586
Tm 0.0586 0.4414 0.4414
Tm 0.1915 0.1915 0.8085
Tm 0.1915 0.8085 0.1915
Tm 0.1915 0.8085 0.8085
Tm 0.4414 0.0586 0.0586
Tm 0.4414 0.0586 0.4414
Tm 0.4414 0.4414 0.0586
Tm 0.6522 0.0433 0.6522
Tm 0.6522 0.6522 0.0433
Tm 0.6522 0.6522 0.6522
Tm 0.8085 0.1915 0.1915
Tm 0.8085 0.1915 0.8085
Tm 0.8085 0.8085 0.1915
In 0.4172 0.4172 0.4172
In 0.4172 0.4172 0.7485
In 0.4172 0.7485 0.4172
In 0.7485 0.4172 0.4172
Ru 0.4182 0.8606 0.8606
Ru 0.8606 0.4182 0.8606
Ru 0.8606 0.8606 0.4182
Ru 0.8606 0.8606 0.8606

***

Entry 6:
Below is a geometry-optimized Tm5InRu4 structure, with properties calculated at the GGA-PBE level.

Values from the calculation:
- E_form: -0.470 eV/atom
- V: 20.33 A^3/atom
- Magnetic moment: 0.00 μB per formula unit
- D(E_F): 6.7 states/eV/f.u.
- SG: P4/mmm (123)

Cell lengths 3.3821, 3.3821, 17.7772 Å; angles 90.00, 90.00, 90.00 degrees
Sites, in units of the cell vectors:
Tm 0.0000 0.0000 0.0000
Tm 0.0000 0.0000 0.1864
Tm 0.0000 0.0000 0.3721
Tm 0.0000 0.0000 0.6279
Tm 0.0000 0.0000 0.8136
In 0.5000 0.5000 0.5000
Ru 0.5000 0.5000 0.0948
Ru 0.5000 0.5000 0.2859
Ru 0.5000 0.5000 0.7141
Ru 0.5000 0.5000 0.9052

***

Q: Which of these has the highest magnetic moment?
A: Tm5In4Ru